# RbMg2Al

A relaxed structure of RbMg2Al (PBE-GGA, the Alexandria database).

Cell: 4.942 4.943 14.078 Å, 86.56 87.35 60.67°
Fractional positions:
Rb: 0.000 0.000 0.000
Rb: 0.262 0.315 0.305
Mg: 0.244 0.282 0.579
Mg: 0.353 0.366 0.798
Mg: 0.577 0.622 0.502
Mg: 0.690 0.709 0.722
Al: 0.019 0.037 0.735
Al: 0.909 0.950 0.539

Summary:
Formation energy from the elements = 0.0935 eV per atom
DOS(E_F) = 1.64 states/eV/f.u.

# RbMg2Al

A relaxed structure of RbMg2Al (PBE-GGA, the Alexandria database).

Cell: 5.001 5.160 13.730 Å, 83.93 86.37 61.43°
Fractional positions:
Rb: 0.000 0.000 0.000
Rb: 0.327 0.464 0.686
Mg: 0.337 0.257 0.239
Mg: 0.662 0.871 0.449
Mg: 0.667 0.596 0.238
Mg: 0.992 0.210 0.447
Al: 0.002 0.918 0.263
Al: 0.326 0.550 0.423

Summary:
Formation energy from the elements = 0.0850 eV per atom
DOS(E_F) = 1.97 states/eV/f.u.

# RbMg2Al

A relaxed structure of RbMg2Al (PBE-GGA, the Alexandria database).

Cell: 5.249 5.955 9.110 Å, 72.19 89.25 83.99°
Fractional positions:
Rb: 0.000 0.000 0.000
Rb: 0.450 0.387 0.193
Mg: 0.006 0.180 0.563
Mg: 0.504 0.378 0.682
Mg: 0.512 0.866 0.703
Mg: 0.768 0.713 0.417
Al: 0.025 0.618 0.722
Al: 0.248 0.820 0.433

Summary:
Formation energy from the elements = 0.1363 eV per atom
DOS(E_F) = 0.78 states/eV/f.u.